Material: La4As2Cl
Method: DFT, GGA-PBE
State: optimized geometry

Values from the calculation:
Its space-group type is Fd-3m. Its total DFT energy (no corrections) is -79.15 eV per cell.

POSCAR file:
```
La4As2Cl
1.0
8.643 0.000 -1.502
-5.070 6.205 -3.571
1.497 0.000 8.644
As Cl La
4 2 8
Cartesian
0.374 4.654 2.161
2.909 1.551 3.946
7.231 1.551 3.195
-0.374 4.653 -2.161
4.322 3.102 -0.751
0.000 0.000 0.000
5.422 1.455 5.598
-1.279 4.557 4.673
2.027 4.750 -0.351
0.397 1.648 2.294
4.718 1.455 1.543
2.776 4.557 3.971
1.101 1.648 6.349
-2.028 4.750 0.352
```

***

Material: RbCd2In9
Method: DFT, GGA-PBE
State: optimized geometry

Values from the calculation:
Its space-group type is P6/mmm. As for the energy relative to the lowest polymorph listed for this composition: 79 kJ/mol of formula units. For the energy relative to the elements, the calculation gives 0.03 eV per atom.

POSCAR file:
```
RbCd2In9
1.0
4.353 0.000 0.000
0.000 9.826 0.000
0.000 -4.913 8.509
Rb Cd In
1 2 9
Cartesian
0.000 0.000 0.000
0.000 4.913 2.836
0.000 0.000 5.673
2.177 6.915 1.681
0.000 -2.456 4.255
0.000 2.456 4.255
2.177 4.913 5.148
2.177 -2.002 6.829
2.177 2.002 6.829
2.177 0.000 3.361
0.000 4.913 0.000
2.177 2.911 1.681
```

***

Material: TlCrAgTe3
Method: DFT, GGA-PBE
State: optimized geometry

Values from the calculation:
Its space-group type is P2_1/m. Its total DFT energy (no corrections) is -50.66 eV per cell.

POSCAR file:
```
TlCrAgTe3
1.0
-2.487 -0.485 3.102
5.881 -4.601 3.997
0.951 10.317 2.374
Tl Cr Ag Te
2 2 2 6
Cartesian
3.271 3.454 7.042
1.073 1.776 2.431
3.545 -1.680 3.873
0.800 6.910 5.600
0.316 5.844 2.460
4.028 -0.613 7.014
3.961 0.953 4.619
3.488 -3.192 6.178
0.899 -1.154 4.420
0.383 4.278 4.854
3.445 6.385 5.053
0.856 8.423 3.296
```

***

Material: Na3SiF
Method: DFT, GGA-PBE
State: optimized geometry

Values from the calculation:
Its space-group type is Pm-3m. As for the energy relative to the lowest polymorph listed for this composition: 0 kJ/mol of formula units.

POSCAR file:
```
Na3SiF
1.0
-0.543 -3.144 -3.366
1.028 -3.387 2.998
-4.490 -0.395 1.093
Na Si F
3 1 1
Cartesian
0.514 -1.693 1.499
-2.245 -0.197 0.547
-0.271 -1.572 -1.683
-2.003 -3.463 0.362
0.000 0.000 0.000
```

***

Material: Ac6La2Pm
Method: DFT, GGA-PBE
State: optimized geometry

Values from the calculation:
Its space-group type is P-6m2. As for the energy relative to the lowest polymorph listed for this composition: 0 kJ/mol of formula units. For the energy relative to the elements, the calculation gives 0.07 eV per atom.

POSCAR file:
```
Ac6La2Pm
1.0
3.912 0.000 0.000
-1.956 3.388 0.000
0.000 0.000 29.066
Ac La Pm
6 2 1
Cartesian
1.956 1.129 26.009
0.000 2.259 12.646
0.000 2.259 22.705
0.000 2.259 6.361
0.000 2.259 16.420
1.956 1.129 3.058
1.956 1.129 9.570
1.956 1.129 19.496
0.000 2.259 0.000
```

***

Material: CrSn2Mo
Method: DFT, GGA-PBE
State: optimized geometry

Values from the calculation:
Its space-group type is I-42d. As for the energy relative to the lowest polymorph listed for this composition: 156 kJ/mol of formula units. For the energy relative to the elements, the calculation gives 0.75 eV per atom.

POSCAR file:
```
CrSn2Mo
1.0
7.416 0.000 0.000
0.000 7.416 0.000
3.708 3.708 2.995
Cr Mo Sn
2 2 4
Cartesian
3.708 3.708 0.000
3.708 7.416 1.498
0.000 0.000 0.000
7.416 3.708 1.498
5.514 1.854 0.749
1.903 5.562 0.749
5.562 5.611 2.246
9.271 9.222 2.246
```

***

Material: MgAsHBr2
Method: DFT, GGA-PBE
State: optimized geometry

Values from the calculation:
Its space-group type is P4/mmm. As for the energy relative to the lowest polymorph listed for this composition: 0 kJ/mol of formula units.

POSCAR file:
```
MgAsHBr2
1.0
5.260 0.000 0.000
0.000 5.260 0.000
0.000 0.000 3.598
H As Mg Br
1 1 1 2
Cartesian
0.000 0.000 0.000
0.000 0.000 1.799
2.630 2.630 1.799
0.000 2.630 0.000
2.630 0.000 0.000
```

***

Material: Tb2ZrScS4
Method: DFT, GGA-PBE
State: optimized geometry

Values from the calculation:
Its space-group type is P2/m. Its total DFT energy (no corrections) is -55.09 eV per cell.

POSCAR file:
```
Tb2ZrScS4
1.0
-2.838 -0.677 2.459
1.728 -6.387 0.236
3.237 3.344 4.655
Tb Zr Sc S
2 1 1 4
Cartesian
0.200 1.334 3.557
2.483 -1.521 2.446
-0.555 -3.532 1.348
0.000 0.000 0.000
-0.246 -1.101 2.373
2.374 -2.619 4.978
2.908 0.949 3.617
2.057 -3.991 1.275
```

***

Material: CeSc5Cd3
Method: DFT, GGA-PBE
State: optimized geometry

Values from the calculation:
Its space-group type is P6_3/mcm. For the energy relative to the elements, the calculation gives -0.13 eV per atom.

POSCAR file:
```
CeSc5Cd3
1.0
6.347 0.000 0.000
0.000 8.823 0.000
0.000 -4.412 7.641
Ce Sc Cd
2 10 6
Cartesian
0.000 0.000 0.000
3.174 0.000 0.000
0.000 4.412 2.547
3.174 0.000 5.094
0.000 0.000 5.094
3.174 4.412 2.547
4.760 2.947 5.104
4.760 -1.464 2.537
4.760 2.929 0.000
1.587 1.464 2.537
1.587 5.876 5.104
1.587 5.894 0.000
4.760 1.520 2.633
4.760 5.931 5.008
4.760 5.783 0.000
1.587 2.892 5.008
1.587 -1.520 2.633
1.587 3.040 0.000
```

***

Material: ZrBeAs2
Method: DFT, GGA-PBE
State: optimized geometry

Values from the calculation:
Its space-group type is R3m. For the energy relative to the elements, the calculation gives -0.33 eV per atom.

POSCAR file:
```
ZrBeAs2
1.0
-0.987 -7.032 -0.563
2.674 -6.598 0.248
0.100 -6.458 3.005
Be As Zr
1 2 1
Cartesian
0.942 -10.587 1.418
0.034 -0.381 0.051
0.351 -3.943 0.528
1.354 -15.221 2.039
```

***

Material: TaBr
Method: DFT, GGA-PBE
State: optimized geometry

Values from the calculation:
Its space-group type is Imma. Its total DFT energy (no corrections) is -24.43 eV per cell.

POSCAR file:
```
TaBr
1.0
5.823 0.007 0.000
2.864 5.070 0.000
-3.693 -3.651 2.634
Br Ta
2 2
Cartesian
0.154 0.090 0.000
3.082 -0.643 1.317
4.423 2.585 0.000
1.677 1.932 1.317
```

***

Material: U3TaC4
Method: DFT, GGA-PBE
State: optimized geometry

Values from the calculation:
Its space-group type is P2/c. For the energy relative to the elements, the calculation gives -0.31 eV per atom.

POSCAR file:
```
U3TaC4
1.0
5.797 0.020 0.000
-2.014 5.622 0.000
0.000 0.000 6.821
C U Ta
8 6 2
Cartesian
5.244 1.352 4.388
2.428 1.285 6.026
2.345 1.342 2.433
5.327 1.295 0.796
-1.544 4.347 6.026
1.438 4.300 4.388
1.355 4.357 0.796
-1.461 4.290 2.433
4.348 0.015 2.560
1.449 0.005 4.261
3.341 2.826 4.305
3.341 2.826 0.815
0.442 2.816 2.516
0.442 2.816 6.006
4.348 0.015 6.009
1.449 0.005 0.812
```